No. 1
Tb2Y2Ho7: optimized geometry, GGA-PBE.

Calculated values
Volume, Å³ per atom: 32.14
Total magnetic moment, μB per cell: 0.00
Energy of formation, eV/f.u.: 1.753

Unit cell a=7.996 b=7.996 c=6.037 alpha=106.33 beta=106.33 gamma=91.06
Fractional coordinates of all 11 atoms:
Tb 0.089 0.089 0.305
Tb 0.911 0.911 0.695
Y 0.286 0.714 0.000
Y 0.714 0.286 0.000
Ho 0.089 0.561 0.324
Ho 0.267 0.267 0.918
Ho 0.439 0.911 0.676
Ho 0.500 0.500 0.500
Ho 0.561 0.089 0.324
Ho 0.733 0.733 0.082
Ho 0.911 0.439 0.676


No. 2
Mg2AgBiIr: optimized geometry, GGA-PBE.

Calculated values
Volume, Å³ per atom: 26.06
Total magnetic moment, μB per cell: 0.00
Energy of formation, eV/f.u.: 0.690

Unit cell a=5.065 b=5.065 c=5.078 alpha=90.00 beta=90.00 gamma=90.00
Fractional coordinates of all 5 atoms:
Mg 0.000 0.500 0.000
Mg 0.500 0.000 0.000
Ag 0.000 0.000 0.500
Bi 0.500 0.500 0.500
Ir 0.500 0.500 0.000


- Which value of volume does entry 2 give?
  26.06 Å³ per atom